# La3TbS6

A relaxed structure of La3TbS6 (PBE, Alexandria).

## Properties
magnetization	0.00	Bohr magnetons per cell
total energy	-394.6	eV/cell
uncorrected formation energy	-2084	kJ/mol of formula units

Structure (CIF):
```
data_La3TbS6
_chemical_formula_sum 'La18 Tb6 S36'
_cell_length_a 11.9976
_cell_length_b 11.9976
_cell_length_c 14.0735
_cell_angle_alpha 90.00
_cell_angle_beta 90.00
_cell_angle_gamma 120.00
_space_group_name_H-M_alt 'R -3'
_space_group_IT_number 148
_space_group_name_Hall '-R 3'
loop_
_atom_site_label
_atom_site_fract_x
_atom_site_fract_y
_atom_site_fract_z
La1 0.0472 0.2697 0.2025
Tb1 0.0000 0.0000 0.0000
Tb2 0.0000 0.0000 0.5000
S1 0.0250 0.2106 0.4012
S2 0.0307 0.1905 0.8790
```